[1]
Below is a crystal of NiPt relaxed with PBEsol, with properties calculated at the SCAN level.

Unit cell a=2.687 b=4.340 c=8.761 alpha=90.00 beta=90.00 gamma=90.00
Space group Imma (No. 74)
One atom of each set of equivalent atoms:
Ni 0.000 0.250 0.135 [4 per cell]
Pt 0.000 0.250 0.615 [4 per cell]

***

[2]
Below is a crystal of Ni3Pt relaxed with PBEsol, with properties calculated at the SCAN level.

Unit cell a=4.456 b=8.268 c=5.082 alpha=90.00 beta=90.00 gamma=90.00
Space group Pnma (No. 62)
One atom of each set of equivalent atoms:
Ni 0.080 0.250 0.124 [4 per cell]
Ni 0.241 0.503 0.870 [8 per cell]
Pt 0.076 0.250 0.613 [4 per cell]

***

[3]
Below is a crystal of NiPt3 relaxed with PBEsol, with properties calculated at the SCAN level.

Unit cell a=4.705 b=8.876 c=5.390 alpha=90.00 beta=90.00 gamma=90.00
Space group Pnma (No. 62)
One atom of each set of equivalent atoms:
Ni 0.084 0.250 0.124 [4 per cell]
Pt 0.081 0.250 0.616 [4 per cell]
Pt 0.245 0.504 0.872 [8 per cell]

***

[4]
Below is a crystal of Ni3Pt relaxed with PBEsol, with properties calculated at the SCAN level.

Unit cell a=2.597 b=3.519 c=5.109 alpha=90.00 beta=90.00 gamma=90.00
Space group Pmmm (No. 47)
One atom of each set of equivalent atoms:
Ni 0.000 0.000 0.000 [1 per cell]
Ni 0.500 0.500 0.236 [2 per cell]
Pt 0.000 0.000 0.500 [1 per cell]

***

[5]
Below is a crystal of Ni5Pt7 relaxed with PBEsol, with properties calculated at the SCAN level.

Unit cell a=2.699 b=7.996 c=7.381 alpha=90.00 beta=90.00 gamma=90.00
Space group Pmm2 (No. 25)
One atom of each set of equivalent atoms:
Ni 0.000 0.000 0.000 [1 per cell]
Ni 0.000 0.325 0.519 [2 per cell]
Ni 0.500 0.163 0.766 [2 per cell]
Pt 0.000 0.000 0.536 [1 per cell]
Pt 0.000 0.326 0.002 [2 per cell]
Pt 0.500 0.165 0.265 [2 per cell]
Pt 0.500 0.500 0.282 [1 per cell]
Pt 0.500 0.500 0.741 [1 per cell]

***

[6]
Below is a crystal of Ni7Pt5 relaxed with PBEsol, with properties calculated at the SCAN level.

Unit cell a=7.363 b=7.443 c=5.783 alpha=90.00 beta=108.67 gamma=90.00
Space group C2/m (No. 12)
One atom of each set of equivalent atoms:
Ni 0.000 0.000 0.000 [2 per cell]
Ni 0.082 0.246 0.340 [8 per cell]
Ni 0.156 0.000 0.664 [4 per cell]
Pt 0.000 0.500 0.000 [2 per cell]
Pt 0.177 0.500 0.654 [4 per cell]
Pt 0.250 0.250 0.000 [4 per cell]

***

Number 1: total magnetic moment 4.5 Bohr magnetons per cell, ΔH_f (0 K) -0.039 eV/atom, E -345.78 eV/cell. Number 2: total magnetic moment 10.8 Bohr magnetons per cell, ΔH_f (0 K) -0.115 eV/atom, E -476.69 eV/cell. Number 3: total magnetic moment 7.8 Bohr magnetons per cell, ΔH_f (0 K) -0.067 eV/atom, E -908.09 eV/cell. Number 4: total magnetic moment 2.9 Bohr magnetons per cell, ΔH_f (0 K) -0.078 eV/atom, E -119.03 eV/cell. Number 5: total magnetic moment 6.9 Bohr magnetons per cell, ΔH_f (0 K) -0.149 eV/atom, E -574.00 eV/cell. Number 6: total magnetic moment 15.1 Bohr magnetons per cell, ΔH_f (0 K) -0.130 eV/atom, E -931.48 eV/cell.